# SrBCl

SrBCl after structural relaxation (GGA-PBE, Alexandria via LeMat-Bulk).

Results
- density (g/cm³) = 3.1
- total DFT energy (no corrections) (eV per atom) = -4.276

```
SrBCl
1.0
3.0943 -2.0287 0.0000
3.0943 2.0287 0.0000
-2.8527 0.0000 11.6105
Sr B Cl
2 2 2
Cartesian
-0.0350 0.0000 2.0768
3.3709 0.0000 9.5337
-0.6018 0.0000 11.6071
3.9377 0.0000 0.0034
1.1637 0.0000 7.7860
2.1722 0.0000 3.8245
```